[1]
Material: AcPrAgIr
Method: DFT, GGA-PBE
State: optimized geometry

```
AcPrAgIr
1.0
0.0000 3.7393 3.7393
3.7393 0.0000 3.7393
3.7393 3.7393 0.0000
Ac Pr Ag Ir
1 1 1 1
Cartesian
0.0000 0.0000 0.0000
3.7393 3.7393 3.7393
5.6090 5.6090 5.6090
1.8697 1.8697 1.8697
```

Values from the calculation:
Total magnetic moment   0.0000 μB/atom
Space-group type   F-43m
Calculated volume   105 Å³/f.u.
Total DFT energy (no corrections)   -22.1 eV for the cell shown
Energy relative to the elements   -0.369 eV per atom

***

[2]
Material: Ba2SrCr
Method: DFT, GGA-PBE
State: optimized geometry

```
Ba2SrCr
1.0
2.2215 1.2826 11.8347
-2.2215 1.2826 11.8347
0.0000 -2.5652 11.8347
Ba Sr Cr
2 1 1
Cartesian
0.0000 0.0000 8.1477
0.0000 0.0000 27.3565
0.0000 0.0000 0.0000
0.0000 0.0000 17.7521
```

Values from the calculation:
Total magnetic moment   0.9986 μB/atom
Space-group type   R-3m
Calculated volume   202 Å³/f.u.
Total DFT energy (no corrections)   -13.1 eV for the cell shown
Polymorph energy (0 for the lowest one)   110 meV/atom
Energy relative to the elements   0.523 eV per atom

***

[3]
Material: K2NaSrAu
Method: DFT, GGA-PBE
State: optimized geometry

```
K2NaSrAu
1.0
6.4267 0.0000 0.0000
0.0000 6.4267 0.0000
0.0000 0.0000 6.1943
K Na Sr Au
2 1 1 1
Cartesian
0.0000 3.2134 0.0000
3.2134 0.0000 0.0000
0.0000 0.0000 3.0971
3.2134 3.2134 3.0971
3.2134 3.2134 0.0000
```

Values from the calculation:
Total magnetic moment   0.0000 μB/atom
Space-group type   P4/mmm
Calculated volume   256 Å³/f.u.
Total DFT energy (no corrections)   -9.1 eV for the cell shown
Energy relative to the elements   -0.130 eV per atom

***

[4]
Material: Hf6GaH
Method: DFT, GGA-PBE
State: optimized geometry

```
Hf6GaH
1.0
5.7314 0.0000 0.0000
2.8605 4.9712 0.0000
2.8551 -1.6423 5.6546
Hf Ga H
6 1 1
Cartesian
2.1034 1.6761 1.2338
6.7522 3.5146 4.4154
4.6523 3.4779 1.2299
6.7947 -0.1490 4.4247
4.6948 -0.1857 1.2392
9.3437 1.6528 4.4208
5.7235 1.6644 2.8273
2.8657 0.0000 0.0000
```

Values from the calculation:
Total magnetic moment   0.0000 μB/atom
Space-group type   P-1
Calculated volume   161 Å³/f.u.
Total DFT energy (no corrections)   -65.4 eV for the cell shown

***

[5]
Material: Cs2RbBrF
Method: DFT, GGA-PBE
State: optimized geometry

```
Cs2RbBrF
1.0
6.3463 0.0000 0.0000
0.0000 6.3463 0.0000
0.0000 0.0000 5.6043
Cs Rb Br F
2 1 1 1
Cartesian
0.0000 3.1732 0.0000
3.1732 0.0000 0.0000
0.0000 0.0000 2.8022
3.1732 3.1732 2.8022
0.0000 0.0000 0.0000
```

Values from the calculation:
Total magnetic moment   0.0000 μB/atom
Space-group type   P4/mmm
Calculated volume   226 Å³/f.u.
Total DFT energy (no corrections)   -14.1 eV for the cell shown
Polymorph energy (0 for the lowest one)   0 meV/atom
Raw formation energy   -1.571 eV per atom

***

[6]
Material: CeYGePd
Method: DFT, GGA-PBE
State: optimized geometry

```
CeYGePd
1.0
0.0000 3.5960 3.5960
3.5960 0.0000 3.5960
3.5960 3.5960 0.0000
Ce Y Ge Pd
1 1 1 1
Cartesian
0.0000 0.0000 0.0000
3.5960 3.5960 3.5960
5.3940 5.3940 5.3940
1.7980 1.7980 1.7980
```

Values from the calculation:
Total magnetic moment   0.2825 μB/atom
Space-group type   F-43m
Calculated volume   93 Å³/f.u.
Total DFT energy (no corrections)   -25.0 eV for the cell shown
Energy relative to the elements   -0.687 eV per atom

***

[7]
Material: TiCu3Pb
Method: DFT, GGA-PBE
State: optimized geometry

```
TiCu3Pb
1.0
4.7523 0.0000 0.0000
0.0000 4.7523 0.0000
0.0000 0.0000 4.7523
Ti Cu Pb
1 3 1
Cartesian
0.0000 0.0000 0.0000
0.0000 0.0000 2.3762
0.0000 2.3762 0.0000
2.3762 0.0000 0.0000
2.3762 2.3762 2.3762
```

Values from the calculation:
Total magnetic moment   0.2944 μB/atom
Space-group type   Pm-3m
Calculated volume   107 Å³/f.u.
Total DFT energy (no corrections)   -19.2 eV for the cell shown
Polymorph energy (0 for the lowest one)   0 meV/atom
Energy relative to the elements   0.934 eV per atom

***

[8]
Material: DyLuScIr
Method: DFT, GGA-PBE
State: optimized geometry

```
DyLuScIr
1.0
0.0000 3.5278 3.5278
3.5278 0.0000 3.5278
3.5278 3.5278 0.0000
Dy Lu Sc Ir
1 1 1 1
Cartesian
0.0000 0.0000 0.0000
3.5278 3.5278 3.5278
5.2917 5.2917 5.2917
1.7639 1.7639 1.7639
```

Values from the calculation:
Total magnetic moment   0.1007 μB/atom
Space-group type   F-43m
Calculated volume   88 Å³/f.u.
Total DFT energy (no corrections)   -25.6 eV for the cell shown
Energy relative to the elements   -0.309 eV per atom